No. 1
Here is PrEr2Se3 after structural relaxation from the Open Quantum Materials Database. Energies are from PBE.

The space group is P-3m1 (No. 164) and the conventional cell measures 4.0751, 4.0751 and 10.2063 Å, with angles of 90.00, 90.00 and 120.00 degrees. Symmetry generates all atoms from Pr at (0.0000, 0.0000, 0.0000), Er at (0.3333, 0.6667, 0.6621), Se at (0.0000, 0.0000, 0.5000) and Se at (0.3333, 0.6667, 0.1842).

No. 2
Here is Pr3Er2Se after structural relaxation from the Open Quantum Materials Database. Energies are from PBE.

The space group is P-4m2 (No. 115) and the conventional cell measures 4.224, 4.224 and 10.788 Å, with angles of 90.00, 90.00 and 90.00 degrees. Symmetry generates all atoms from Pr at (0.000, 0.000, 0.000), Pr at (0.000, 0.500, 0.580), Er at (0.000, 0.500, 0.245) and Se at (0.500, 0.500, 0.000).

No. 3
Here is PrErSi after structural relaxation from the Open Quantum Materials Database. Energies are from PBE.

The space group is F-43m (No. 216) and the conventional cell measures 6.979, 6.979 and 6.979 Å, with angles of 90.00, 90.00 and 90.00 degrees. Symmetry generates all atoms from Pr at (0.000, 0.000, 0.000), Er at (0.000, 0.000, 0.500) and Si at (0.250, 0.250, 0.750).

No. 4
Here is PrSmEr after structural relaxation from the Open Quantum Materials Database. Energies are from PBE.

The space group is F-43m (No. 216) and the conventional cell measures 7.774, 7.774 and 7.774 Å, with angles of 90.00, 90.00 and 90.00 degrees. Symmetry generates all atoms from Pr at (0.000, 0.000, 0.000), Sm at (0.000, 0.000, 0.500) and Er at (0.250, 0.250, 0.250).

The distance to the lowest polymorph of the same formula comes out at 0.000 eV/atom.

Calculated total energy values, unit eV per atom, following the record order: -5.81 -4.78 -5.35 -4.00.